Computed, not measured: a relaxed structure of TbMgCoAu at the PBE level of DFT.

Unit cell a=4.765 b=4.765 c=4.765 alpha=60.00 beta=60.00 gamma=60.00
Site moments in Bohr magnetons follow the coordinates.
Atoms (fractional coordinates):
Mg 0.750 0.750 0.750  -0.01
Co 0.500 0.500 0.500  1.06
Au 0.000 0.000 0.000  0.01
Tb 0.250 0.250 0.250  -0.15

- calculated total energy (eV/atom) = -4.46
- energy of formation (eV per formula unit) = -1.2